Record 1
{"formula": "Ba2NiPb", "functional": "meta-GGA SCAN", "state": "PBEsol geometry", "lattice_angstrom": [[-3.347, 1.754, -1.370], [-2.704, -1.406, 4.805], [1.633, 4.931, 2.323]], "species": ["Ba", "Ba", "Pb", "Ni"], "frac_coords": [[0.000, 0.000, 0.500], [0.000, 0.500, 0.000], [0.500, 0.500, 0.500], [0.500, 0.000, 0.000]], "spacegroup": "No. 65", "final_energy_ev_per_atom": -42.8775, "formation_enthalpy_0k_mev_per_atom": -114}

=====

Record 2
{"formula": "SiPBr2", "functional": "meta-GGA SCAN", "state": "PBEsol geometry", "lattice_angstrom": [[-0.799, 4.286, -1.628], [-4.327, -1.532, -0.767], [1.450, -0.138, 5.005]], "species": ["Br", "Br", "Si", "P"], "frac_coords": [[0.500, 0.000, 0.500], [0.000, 0.500, 0.500], [0.500, 0.500, 0.000], [0.000, 0.000, 0.000]], "spacegroup": "No. 69", "final_energy_ev_per_atom": -14.2181, "raw_formation_energy_kj_per_mol_atoms": 59.4, "e_above_lowest_polymorph_mev_per_atom": 755}

=====

Record 3
{"formula": "Nb2AlHgAu", "functional": "meta-GGA SCAN", "state": "PBEsol geometry", "lattice_angstrom": [[4.624, 0.000, 0.000], [0.000, 4.717, 0.000], [0.000, 0.000, 4.717]], "species": ["Nb", "Nb", "Al", "Au", "Hg"], "frac_coords": [[0.000, 0.500, 0.000], [0.000, 0.000, 0.500], [0.000, 0.000, 0.000], [0.500, 0.500, 0.500], [0.500, 0.000, 0.000]], "spacegroup": "No. 123", "final_energy_ev_per_atom": -41.2661, "formation_enthalpy_0k_mev_per_atom": 1001}

=====

Record 4
{"formula": "SrTeSe2", "functional": "meta-GGA SCAN", "state": "PBEsol geometry", "lattice_angstrom": [[-0.739, 1.765, 3.263], [-2.555, -4.100, 1.639], [4.301, -1.884, 1.993]], "species": ["Se", "Se", "Sr", "Te"], "frac_coords": [[0.000, 0.000, 0.500], [0.000, 0.500, 0.000], [0.500, 0.500, 0.500], [0.500, 0.000, 0.000]], "spacegroup": "No. 123", "final_energy_ev_per_atom": -25.8126, "raw_formation_energy_kj_per_mol_atoms": -86.0}

=====

Record 5
{"formula": "MoIrRu2", "functional": "meta-GGA SCAN", "state": "PBEsol geometry", "lattice_angstrom": [[-1.357, -1.018, 2.092], [-0.727, -3.158, -2.009], [4.589, -2.252, 1.880]], "species": ["Ir", "Ru", "Ru", "Mo"], "frac_coords": [[0.500, 0.500, 0.000], [0.000, 0.000, 0.245], [0.000, 0.000, 0.755], [0.500, 0.500, 0.500]], "spacegroup": "No. 47", "final_energy_ev_per_atom": -43.9307, "e_above_lowest_polymorph_mev_per_atom": 181, "formation_enthalpy_0k_mev_per_atom": -21}

=====

Record 6
{"formula": "ZnRhAu2", "functional": "meta-GGA SCAN", "state": "PBEsol geometry", "lattice_angstrom": [[4.029, 0.000, 0.000], [0.000, 4.029, 0.000], [-2.015, -2.015, 3.739]], "species": ["Zn", "Au", "Au", "Rh"], "frac_coords": [[0.250, 0.750, 0.500], [0.750, 0.250, 0.500], [0.000, 0.000, 0.000], [0.500, 0.500, 0.000]], "spacegroup": "No. 119", "final_energy_ev_per_atom": -46.5195, "formation_enthalpy_0k_mev_per_atom": -119}

=====

Record 7
{"formula": "Mn4TcIr", "functional": "meta-GGA SCAN", "state": "PBEsol geometry", "lattice_angstrom": [[-0.146, -0.646, 4.560], [-3.812, -1.684, 1.967], [-0.008, -4.274, 1.722]], "species": ["Mn", "Mn", "Mn", "Mn", "Ir", "Tc"], "frac_coords": [[0.374, 0.879, 0.374], [0.374, 0.374, 0.374], [0.374, 0.374, 0.879], [0.879, 0.374, 0.374], [0.000, 0.000, 0.000], [0.750, 0.750, 0.750]], "spacegroup": "No. 216", "final_energy_ev_per_atom": -29.9006, "formation_enthalpy_0k_mev_per_atom": -37}

=====

Record 8
{"formula": "MnCd2Re", "functional": "meta-GGA SCAN", "state": "PBEsol geometry", "lattice_angstrom": [[3.904, 0.000, 0.000], [0.000, 3.904, 0.000], [0.000, 0.000, 4.266]], "species": ["Cd", "Cd", "Mn", "Re"], "frac_coords": [[0.500, 0.000, 0.000], [0.000, 0.500, 0.000], [0.500, 0.500, 0.500], [0.000, 0.000, 0.500]], "spacegroup": "No. 123", "final_energy_ev_per_atom": -37.1586, "e_above_lowest_polymorph_mev_per_atom": 0, "formation_enthalpy_0k_mev_per_atom": 387}